[1]
# Dy3YP4

Crystalline Dy3YP4 at its relaxed geometry (PBE-GGA, OQMD).

abc: 6.9386 6.9386 4.0068
angles: 90.00 90.00 109.47
Fractional coordinates of all 8 atoms:
Dy  0.0000  0.0000  0.0000
Dy  0.0000  0.5000  0.5000
Dy  0.5000  0.0000  0.5000
Y  0.5000  0.5000  0.0000
P  0.2495  0.2495  0.5000
P  0.2498  0.7502  0.0000
P  0.7502  0.2498  0.0000
P  0.7505  0.7505  0.5000

Calculated values
Raw total energy (eV/cell): -54.9
Magnetization (μB/f.u.): 0.00


[2]
# Dy2YP3

Crystalline Dy2YP3 at its relaxed geometry (PBE-GGA, OQMD).

abc: 4.0046 4.0046 9.8265
angles: 90.00 90.00 120.00
Fractional coordinates of all 6 atoms:
Dy  0.3333  0.6667  0.3333
Dy  0.6667  0.3333  0.6667
Y  0.0000  0.0000  0.0000
P  0.0000  0.0000  0.5000
P  0.3333  0.6667  0.8330
P  0.6667  0.3333  0.1670

Calculated values
Raw total energy (eV/cell): -41.6
Magnetization (μB/f.u.): 0.00


[3]
# Dy2YP2

Crystalline Dy2YP2 at its relaxed geometry (PBE-GGA, OQMD).

abc: 4.2569 4.2569 6.1469
angles: 90.00 90.00 90.00
Fractional coordinates of all 5 atoms:
Dy  0.0000  0.5000  0.0000
Dy  0.5000  0.0000  0.0000
Y  0.0000  0.0000  0.5000
P  0.5000  0.5000  0.3123
P  0.5000  0.5000  0.6877

Calculated values
Raw total energy (eV/cell): -30.6
Magnetization (μB/f.u.): 0.05


[4]
# DyPa

Crystalline DyPa at its relaxed geometry (PBE-GGA, OQMD).

abc: 4.3891 4.3891 4.3891
angles: 60.00 60.00 60.00
Fractional coordinates of all 2 atoms:
Dy  0.0000  0.0000  0.0000
Pa  0.5000  0.5000  0.5000

Calculated values
Magnetization (μB/f.u.): 2.03
Excess energy over the best structure of this formula in the dataset (meV/atom): 1121


[5]
# DyPa

Crystalline DyPa at its relaxed geometry (PBE-GGA, OQMD).

abc: 3.3049 3.3049 5.8063
angles: 90.00 90.00 120.00
Fractional coordinates of all 2 atoms:
Dy  0.0000  0.0000  0.0000
Pa  0.6667  0.3333  0.5000

Calculated values
Magnetization (μB/f.u.): 0.01
Excess energy over the best structure of this formula in the dataset (meV/atom): 0


[6]
# DyPa

Crystalline DyPa at its relaxed geometry (PBE-GGA, OQMD).

abc: 5.3630 5.3630 5.3748
angles: 90.00 90.00 120.00
Fractional coordinates of all 4 atoms:
Dy  0.3333  0.6667  0.2500
Dy  0.6667  0.3333  0.7500
Pa  0.0000  0.0000  0.0000
Pa  0.0000  0.0000  0.5000

Calculated values
Magnetization (μB/f.u.): 1.62
Excess energy over the best structure of this formula in the dataset (meV/atom): 827


[7]
# DyPa

Crystalline DyPa at its relaxed geometry (PBE-GGA, OQMD).

abc: 4.5615 4.5615 4.5615
angles: 60.00 60.00 60.00
Fractional coordinates of all 2 atoms:
Dy  0.0000  0.0000  0.0000
Pa  0.7500  0.7500  0.7500

Calculated values
Magnetization (μB/f.u.): 0.88
Excess energy over the best structure of this formula in the dataset (meV/atom): 2101


[8]
# DyPaPb

Crystalline DyPaPb at its relaxed geometry (PBE-GGA, OQMD).

abc: 5.2172 5.2172 5.2172
angles: 60.00 60.00 60.00
Fractional coordinates of all 3 atoms:
Dy  0.0000  0.0000  0.0000
Pa  0.5000  0.5000  0.5000
Pb  0.2500  0.2500  0.2500

Calculated values
Magnetization (μB/f.u.): 2.40
Excess energy over the best structure of this formula in the dataset (meV/atom): 0